Here is an optimized crystal structure of TbNd2MoO8 from the Alexandria database. Energies are from PBE with a Hubbard U.

a = 5.2053 Å, b = 5.2059 Å, c = 6.9471 Å
α = 90.00°, β = 90.00°, γ = 90.80°
Closest atoms and distances in Å follow each position.
Fractional coordinates of all 12 atoms:
Tb 0.0000 0.0000 0.5000  6 O 2.21-2.40
Nd 0.5000 0.5000 0.7510  6 O 2.27-2.44
Nd 0.5000 0.5000 0.2490  6 O 2.27-2.44
Mo 0.0000 0.0000 0.0000  6 O 1.94-1.96
O 0.1764 0.8224 0.2101  1 Mo 1.96
O 0.7345 0.7360 0.0000  1 Mo 1.94
O 0.8236 0.1776 0.2101  1 Mo 1.96
O 0.8236 0.1776 0.7899  1 Mo 1.96
O 0.2655 0.2640 0.0000  1 Mo 1.94
O 0.1764 0.8224 0.7899  1 Mo 1.96
O 0.6973 0.6987 0.5000  1 Tb 2.21, 2 Nd 2.27
O 0.3027 0.3013 0.5000  1 Tb 2.21, 2 Nd 2.27

Output
Space group: No. 10
Calculated total energy: -7.642 eV/atom